Density functional theory data (PBE-GGA) for a relaxed structure of NpPd4Pt3.

Cell lengths 6.498, 6.498, 4.868 Å; angles 105.09, 105.09, 127.23 degrees
Element x y z (fractional)
Np 0.000 0.000 0.000
Pd 0.128 0.872 0.500
Pd 0.254 0.746 0.000
Pd 0.746 0.254 0.000
Pd 0.872 0.128 0.500
Pt 0.375 0.625 0.500
Pt 0.500 0.500 0.000
Pt 0.625 0.375 0.500

Calculated values
Calculated volume ... 16.58 A^3/atom
VASP energy ... -0.250 hartree per atom
DOS at the Fermi energy ... 12.817 states/eV/f.u.
Symmetry ... C2/m (12)
Crystal system ... monoclinic
Theoretical density ... 15.6 g cm⁻³



Density functional theory data (PBE-GGA) for a relaxed structure of GdHoCdPd.

Cell lengths 5.136, 5.136, 5.136 Å; angles 60.00, 60.00, 60.00 degrees
Element x y z (fractional)
Gd 0.000 0.000 0.000
Ho 0.500 0.500 0.500
Cd 0.250 0.250 0.250
Pd 0.750 0.750 0.750

Calculated values
Calculated volume ... 23.96 A^3/atom
VASP energy ... -0.247 hartree per atom
DOS at the Fermi energy ... 2.775 states/eV/f.u.
Symmetry ... F-43m (216)
Crystal system ... cubic
Theoretical density ... 9.4 g cm⁻³



Density functional theory data (PBE-GGA) for a relaxed structure of NaLi2In.

Cell lengths 6.028, 6.028, 4.969 Å; angles 90.11, 90.11, 71.94 degrees
Element x y z (fractional)
Na 0.124 0.124 0.250
Na 0.876 0.876 0.750
Li 0.135 0.598 0.250
Li 0.402 0.865 0.750
Li 0.598 0.135 0.250
Li 0.865 0.402 0.750
In 0.383 0.383 0.750
In 0.617 0.617 0.250

Calculated values
Calculated volume ... 21.45 A^3/atom
VASP energy ... -0.078 hartree per atom
DOS at the Fermi energy ... 1.681 states/eV/f.u.
Symmetry ... C2/m (12)
Crystal system ... monoclinic
Theoretical density ... 2.9 g cm⁻³



Density functional theory data (PBE-GGA) for a relaxed structure of CuNi2Br.

Cell lengths 5.646, 5.646, 3.870 Å; angles 101.19, 101.19, 31.29 degrees
Element x y z (fractional)
Cu 0.000 0.000 0.000
Ni 0.542 0.542 0.514
Ni 0.868 0.868 0.431
Br 0.223 0.223 0.650

Calculated values
Calculated volume ... 15.69 A^3/atom
VASP energy ... -0.145 hartree per atom
ΔE_f (raw) ... 36.56 kJ per mole of atoms
DOS at the Fermi energy ... 3.594 states/eV/f.u.
Symmetry ... Cm (8)
Crystal system ... monoclinic
Theoretical density ... 6.9 g cm⁻³



Density functional theory data (PBE-GGA) for a relaxed structure of Nd2ErC.

Cell lengths 10.137, 10.137, 10.137 Å; angles 20.58, 20.58, 20.58 degrees
Element x y z (fractional)
Nd 0.119 0.119 0.119
Nd 0.881 0.881 0.881
Er 0.000 0.000 0.000
C 0.500 0.500 0.500

Calculated values
Calculated volume ... 28.17 A^3/atom
VASP energy ... -0.211 hartree per atom
DOS at the Fermi energy ... 4.108 states/eV/f.u.
Symmetry ... R-3m (166)
Crystal system ... trigonal
Theoretical density ... 6.9 g cm⁻³



Density functional theory data (PBE-GGA) for a relaxed structure of Be2AlAg2.

Cell lengths 6.545, 6.545, 3.191 Å; angles 90.00, 90.00, 90.00 degrees
Element x y z (fractional)
Be 0.129 0.371 0.000
Be 0.371 0.871 0.000
Be 0.629 0.129 0.000
Be 0.871 0.629 0.000
Al 0.000 0.000 0.000
Al 0.500 0.500 0.000
Ag 0.165 0.665 0.500
Ag 0.335 0.165 0.500
Ag 0.665 0.835 0.500
Ag 0.835 0.335 0.500

Calculated values
Calculated volume ... 13.67 A^3/atom
VASP energy ... -0.118 hartree per atom
DOS at the Fermi energy ... 1.344 states/eV/f.u.
Symmetry ... P4/mbm (127)
Crystal system ... tetragonal
Theoretical density ... 6.3 g cm⁻³



Density functional theory data (PBE-GGA) for a relaxed structure of HfNb2Cu.

Cell lengths 5.952, 5.952, 5.952 Å; angles 101.36, 101.36, 127.31 degrees
Element x y z (fractional)
Hf 0.000 0.000 0.000
Hf 0.750 0.250 0.500
Nb 0.159 0.125 0.534
Nb 0.375 0.841 0.966
Nb 0.591 0.625 0.466
Nb 0.875 0.409 0.034
Cu 0.250 0.750 0.500
Cu 0.500 0.500 0.000

Calculated values
Calculated volume ... 18.78 A^3/atom
VASP energy ... -0.298 hartree per atom
DOS at the Fermi energy ... 4.270 states/eV/f.u.
Symmetry ... I-42d (122)
Crystal system ... tetragonal
Theoretical density ... 9.5 g cm⁻³



Density functional theory data (PBE-GGA) for a relaxed structure of Ho2TmSc.

Cell lengths 11.231, 11.231, 11.231 Å; angles 17.87, 17.87, 17.87 degrees
Element x y z (fractional)
Ho 0.000 0.000 0.000
Ho 0.171 0.171 0.171
Tm 0.752 0.752 0.752
Sc 0.586 0.586 0.586

Calculated values
Calculated volume ... 29.13 A^3/atom
VASP energy ... -0.182 hartree per atom
DOS at the Fermi energy ... 6.284 states/eV/f.u.
Symmetry ... R3m (160)
Crystal system ... trigonal
Theoretical density ... 7.8 g cm⁻³



Density functional theory data (PBE-GGA) for a relaxed structure of TlAgSb2Te4.

Cell lengths 7.631, 6.302, 7.602 Å; angles 65.80, 48.88, 65.32 degrees
Element x y z (fractional)
Tl 0.000 0.000 0.000
Ag 0.502 0.502 0.498
Sb 0.250 0.250 0.250
Sb 0.750 0.750 0.750
Te 0.266 0.732 0.268
Te 0.500 0.999 0.500
Te 0.732 0.266 0.734
Te 0.999 0.500 0.001

Calculated values
Calculated volume ... 30.66 A^3/atom
VASP energy ... -0.123 hartree per atom
ΔE_f (raw) ... -8.03 kJ per mole of atoms
DOS at the Fermi energy ... 3.995 states/eV/f.u.
Symmetry ... Fmm2 (42)
Crystal system ... orthorhombic
Theoretical density ... 7.2 g cm⁻³



Density functional theory data (PBE-GGA) for a relaxed structure of ReTeOF2.

Cell lengths 4.436, 4.436, 3.781 Å; angles 90.00, 90.00, 90.00 degrees
Element x y z (fractional)
Re 0.000 0.000 0.000
Te 0.500 0.500 0.500
O 0.000 0.000 0.500
F 0.000 0.500 0.000
F 0.500 0.000 0.000

Calculated values
Calculated volume ... 14.88 A^3/atom
VASP energy ... -0.198 hartree per atom
ΔE_f (raw) ... -52.01 kJ per mole of atoms
DOS at the Fermi energy ... 5.857 states/eV/f.u.
Symmetry ... P4/mmm (123)
Crystal system ... tetragonal
Theoretical density ... 8.2 g cm⁻³



Density functional theory data (PBE-GGA) for a relaxed structure of Er12Tm7Zr.

Cell lengths 8.566, 8.566, 8.566 Å; angles 98.73, 98.73, 98.73 degrees
Element x y z (fractional)
Er 0.000 0.257 0.743
Er 0.000 0.743 0.257
Er 0.162 0.599 0.599
Er 0.257 0.000 0.743
Er 0.257 0.743 0.000
Er 0.401 0.401 0.838
Er 0.401 0.838 0.401
Er 0.599 0.162 0.599
Er 0.599 0.599 0.162
Er 0.743 0.000 0.257
Er 0.743 0.257 0.000
Er 0.838 0.401 0.401
Tm 0.142 0.142 0.406
Tm 0.142 0.406 0.142
Tm 0.406 0.142 0.142
Tm 0.500 0.500 0.500
Tm 0.594 0.858 0.858
Tm 0.858 0.594 0.858
Tm 0.858 0.858 0.594
Zr 0.000 0.000 0.000

Calculated values
Calculated volume ... 30.21 A^3/atom
VASP energy ... -0.170 hartree per atom
DOS at the Fermi energy ... 34.134 states/eV/f.u.
Symmetry ... R-3m (166)
Crystal system ... trigonal
Theoretical density ... 9.0 g cm⁻³



Density functional theory data (PBE-GGA) for a relaxed structure of Zr2SiNiMo.

Cell lengths 4.901, 4.901, 4.445 Å; angles 90.00, 90.00, 90.00 degrees
Element x y z (fractional)
Zr 0.000 0.500 0.000
Zr 0.500 0.000 0.000
Si 0.000 0.000 0.000
Ni 0.500 0.500 0.500
Mo 0.000 0.000 0.500

Calculated values
Calculated volume ... 21.36 A^3/atom
VASP energy ... -0.263 hartree per atom
ΔE_f (raw) ... 63.65 kJ per mole of atoms
DOS at the Fermi energy ... 4.227 states/eV/f.u.
Symmetry ... P4/mmm (123)
Crystal system ... tetragonal
Theoretical density ... 5.7 g cm⁻³